EuSn2Pd2 | SCAN | PBEsol geometry

Unit cell a=4.5087 b=4.5087 c=10.7946 alpha=90.00 beta=90.00 gamma=90.00
Closest atoms and distances in Å follow each position.
Fractional coordinates of all 10 atoms:
Eu  0.2500  0.2500  0.2458  8 Sn 3.44-3.55, 8 Pd 3.45-3.48
Eu  0.7500  0.7500  0.7542  8 Sn 3.44-3.55, 8 Pd 3.45-3.48
Sn  0.2500  0.2500  0.8733  5 Pd 2.59-2.64
Sn  0.2500  0.7500  0.5000  4 Pd 2.67
Sn  0.7500  0.2500  0.5000  4 Pd 2.67
Sn  0.7500  0.7500  0.1267  5 Pd 2.59-2.64
Pd  0.2500  0.2500  0.6332  5 Sn 2.59-2.67
Pd  0.2500  0.7500  0.0000  4 Sn 2.64
Pd  0.7500  0.2500  0.0000  4 Sn 2.64
Pd  0.7500  0.7500  0.3668  5 Sn 2.59-2.67

Properties
- energy relative to the elements (meV per atom) = -778
- space-group type = No. 129
- calculated total energy (eV/atom) = -38.998
- total magnetization (μB/cell) = 14.2



PmEu3 | SCAN | PBEsol geometry

Unit cell a=7.4151 b=7.4151 c=5.9739 alpha=90.00 beta=90.00 gamma=120.00
Closest atoms and distances in Å follow each position.
Fractional coordinates of all 8 atoms:
Pm  0.3333  0.6667  0.2500  12 Eu 3.66-3.71
Pm  0.6667  0.3333  0.7500  12 Eu 3.66-3.71
Eu  0.1685  0.3369  0.7500  4 Pm 3.66-3.71, 8 Eu 3.67-3.75
Eu  0.1685  0.8315  0.7500  4 Pm 3.66-3.71, 8 Eu 3.67-3.75
Eu  0.3369  0.1685  0.2500  4 Pm 3.66-3.71, 8 Eu 3.67-3.75
Eu  0.6631  0.8315  0.7500  4 Pm 3.66-3.71, 8 Eu 3.67-3.75
Eu  0.8315  0.1685  0.2500  4 Pm 3.66-3.71, 8 Eu 3.67-3.75
Eu  0.8315  0.6631  0.2500  4 Pm 3.66-3.71, 8 Eu 3.67-3.75

Properties
- energy relative to the elements (meV per atom) = 73
- space-group type = No. 194
- calculated total energy (eV/atom) = -51.207
- total magnetization (μB/cell) = 48.2



Pr2EuS4 | SCAN | PBEsol geometry

Unit cell a=7.3807 b=7.3807 c=7.3807 alpha=109.42 beta=109.42 gamma=109.57
Closest atoms and distances in Å follow each position.
Fractional coordinates of all 14 atoms:
Pr  0.0022  0.1250  0.3772  8 S 2.87-3.03
Pr  0.3750  0.9978  0.1228  8 S 2.87-3.03
Pr  0.7478  0.6250  0.6228  8 S 2.87-3.03
Pr  0.8750  0.2522  0.8772  8 S 2.87-3.03
Eu  0.2500  0.7500  0.5000  8 S 2.89-3.03
Eu  0.5000  0.5000  0.0000  8 S 2.89-3.03
S  0.1227  0.0257  0.7496  4 Pr 2.87-3.03, 2 Eu 2.89-3.03
S  0.1231  0.5261  0.7504  4 Pr 2.87-3.03, 2 Eu 2.89-3.03
S  0.2761  0.3731  0.2504  4 Pr 2.87-3.03, 2 Eu 2.89-3.03
S  0.4739  0.2243  0.5969  4 Pr 2.87-3.03, 2 Eu 2.89-3.03
S  0.6273  0.8769  0.4031  4 Pr 2.87-3.03, 2 Eu 2.89-3.03
S  0.6269  0.8773  0.9031  4 Pr 2.87-3.03, 2 Eu 2.89-3.03
S  0.7757  0.3727  0.2496  4 Pr 2.87-3.03, 2 Eu 2.89-3.03
S  0.9743  0.7239  0.0969  4 Pr 2.87-3.03, 2 Eu 2.89-3.03

Properties
- ΔE_f (raw) (eV per formula unit) = -16.74
- space-group type = No. 122
- calculated total energy (eV/atom) = -27.946
- total magnetization (μB/cell) = 14.0



PrEuZn2 | SCAN | PBEsol geometry

Unit cell a=5.1559 b=5.1559 c=5.1559 alpha=60.00 beta=60.00 gamma=60.00
Closest atoms and distances in Å follow each position.
Fractional coordinates of all 4 atoms:
Pr  0.0000  0.0000  0.0000  8 Zn 3.16
Eu  0.5000  0.5000  0.5000  8 Zn 3.16
Zn  0.2500  0.2500  0.2500  4 Pr 3.16, 4 Eu 3.16
Zn  0.7500  0.7500  0.7500  4 Pr 3.16, 4 Eu 3.16

Properties
- energy relative to the elements (meV per atom) = -327
- space-group type = No. 225
- calculated total energy (eV/atom) = -31.344
- total magnetization (μB/cell) = 7.2



EuSi2Pt2 | SCAN | PBEsol geometry

Unit cell a=5.7904 b=5.7904 c=5.7904 alpha=137.78 beta=137.78 gamma=61.23
Closest atoms and distances in Å follow each position.
Fractional coordinates of all 5 atoms:
Eu  0.0000  0.0000  0.0000  8 Si 3.19, 8 Pt 3.25
Si  0.3791  0.3791  0.0000  1 Si 2.41, 4 Pt 2.45
Si  0.6209  0.6209  0.0000  1 Si 2.41, 4 Pt 2.45
Pt  0.2500  0.7500  0.5000  4 Si 2.45
Pt  0.7500  0.2500  0.5000  4 Si 2.45

Properties
- ΔE_f (raw) (eV per formula unit) = -5.26
- space-group type = No. 139
- calculated total energy (eV/atom) = -43.877
- total magnetization (μB/cell) = 7.1



SrEuPt2 | SCAN | PBEsol geometry

Unit cell a=5.0368 b=5.0368 c=5.0368 alpha=60.00 beta=60.00 gamma=60.00
Closest atoms and distances in Å follow each position.
Fractional coordinates of all 4 atoms:
Sr  0.0000  0.0000  0.0000  8 Pt 3.08
Eu  0.5000  0.5000  0.5000  8 Pt 3.08
Pt  0.2500  0.2500  0.2500  4 Sr 3.08, 4 Eu 3.08
Pt  0.7500  0.7500  0.7500  4 Sr 3.08, 4 Eu 3.08

Properties
- energy relative to the elements (meV per atom) = -911
- space-group type = No. 225
- calculated total energy (eV/atom) = -55.004
- total magnetization (μB/cell) = 6.9



Look up the calculated total energy of the second one. -51.207 eV/atom



The highest calculated total energy belongs to which entry? Pr2EuS4